DFT (PBE) results for a relaxed HfPdI2 crystal.

Structure (CIF):
```
data_HfPdI2
_chemical_formula_sum 'Hf1 Pd1 I2'
_cell_length_a 5.057
_cell_length_b 5.057
_cell_length_c 5.057
_cell_angle_alpha 60.00
_cell_angle_beta 60.00
_cell_angle_gamma 60.00
_symmetry_space_group_name_H-M 'P 1'
_symmetry_Int_Tables_number 1
_symmetry_space_group_name_Hall 'P 1'
loop_
_atom_site_label
_atom_site_type_symbol
_atom_site_fract_x
_atom_site_fract_y
_atom_site_fract_z
Pd1 Pd 0.000 0.000 0.000
Hf1 Hf 0.500 0.500 0.500
I1 I 0.750 0.750 0.750
I2 I 0.250 0.250 0.250
```

- calculated total energy (eV per atom) = -4.42
- polymorph energy (0 for the lowest one) (meV/atom) = 0
- space group = No. 225
- formation energy without anion corrections (eV per atom) = 0.138